# 1
Here is InICl after structural relaxation from Alexandria via LeMat-Bulk. Energies are from GGA-PBE.

Properties
**DOS(E_F)**: 4.58 states/eV/cell

abc: 6.7960 4.3156 4.3156
angles: 120.00 90.00 90.00
With the nearest neighbours (Å) after each atom.
Sites, in units of the cell vectors:
I 0.7446 0.6667 0.3333  3 In 3.13
Cl 0.2320 0.3333 0.6667  3 In 2.87
In 0.0233 0.0000 0.0000  3 Cl 2.87, 3 I 3.13

=====

# 2
Here is In5I2Cl3 after structural relaxation from Alexandria via LeMat-Bulk. Energies are from GGA-PBE.

abc: 4.7134 8.6235 9.9845
angles: 78.96 76.35 74.14
With the nearest neighbours (Å) after each atom.
Sites, in units of the cell vectors:
In 0.9116 0.7643 0.4125  3 Cl 3.05-3.25
Cl 0.8824 0.3702 0.8650  5 In 3.05-3.26
In 0.2972 0.6029 0.8027  4 Cl 3.05-3.26
I 0.3462 0.0460 0.2617  7 In 3.50-3.73
In 0.0000 0.0000 0.0000  2 Cl 3.17, 4 I 3.52
Cl 0.5000 0.5000 0.5000  6 In 3.17-3.25
In 0.7028 0.3971 0.1973  4 Cl 3.05-3.26
In 0.0884 0.2357 0.5875  3 Cl 3.05-3.25
I 0.6538 0.9540 0.7383  7 In 3.50-3.73
Cl 0.1176 0.6298 0.1350  5 In 3.05-3.26

=====

# 3
Here is KInICl2 after structural relaxation from Alexandria via LeMat-Bulk. Energies are from GGA-PBE.

Properties
**DOS(E_F)**: 0.90 states/eV/cell

abc: 5.4177 5.4177 6.1722
angles: 90.00 90.00 90.00
With the nearest neighbours (Å) after each atom.
Sites, in units of the cell vectors:
I 0.0000 0.0000 0.5000  2 In 3.09
Cl 0.0000 0.5000 0.0000  2 In 2.71
K 0.5000 0.5000 0.5000  4 I 3.83, 8 Cl 4.11
In 0.0000 0.0000 0.0000  4 Cl 2.71
Cl 0.5000 0.0000 0.0000  2 In 2.71

=====

# 4
Here is MnInICl4 after structural relaxation from Alexandria via LeMat-Bulk. Energies are from GGA-PBE.

abc: 7.7403 7.7403 8.8100
angles: 75.25 75.25 70.93
With the nearest neighbours (Å) after each atom.
Sites, in units of the cell vectors:
Mn 0.0844 0.0844 0.7896  3 Cl 2.42-2.63
In 0.3796 0.3796 0.3951  4 Cl 2.42-2.56
I 0.1415 0.1415 0.0665  2 Mn 2.73-2.75
Cl 0.3909 0.3909 0.6673  1 In 2.45
I 0.8585 0.8585 0.9335  2 Mn 2.73-2.75
Mn 0.9156 0.9156 0.2104  3 Cl 2.42-2.63
Cl 0.8136 0.3957 0.7843  1 In 2.42, 1 Mn 2.63
Cl 0.8337 0.8337 0.4980  1 Mn 2.42, 1 In 2.56
Cl 0.3957 0.8136 0.7843  1 In 2.42, 1 Mn 2.63
Cl 0.6043 0.1864 0.2157  1 In 2.42, 1 Mn 2.63
Cl 0.1864 0.6043 0.2157  1 In 2.42, 1 Mn 2.63
Cl 0.1663 0.1663 0.5020  1 Mn 2.42, 1 In 2.56
Cl 0.6091 0.6091 0.3327  1 In 2.45
In 0.6204 0.6204 0.6049  4 Cl 2.42-2.56

=====

# 5
Here is In2INCl after structural relaxation from Alexandria via LeMat-Bulk. Energies are from GGA-PBE.

Properties
**DOS(E_F)**: 3.04 states/eV/cell

abc: 6.5332 5.8651 6.5332
angles: 90.00 90.00 90.00
With the nearest neighbours (Å) after each atom.
Sites, in units of the cell vectors:
I 0.0000 0.0000 0.0000  2 Cl 2.93, 4 In 3.27
In 0.5000 0.0000 0.0000  2 I 3.27
Cl 0.0000 0.5000 0.0000  2 I 2.93
In 0.0000 0.0000 0.5000  2 I 3.27
N 0.5000 0.5000 0.5000  8 In 4.39, 4 Cl 4.62

=====

# 6
Here is InI2NCl after structural relaxation from Alexandria via LeMat-Bulk. Energies are from GGA-PBE.

Properties
**DOS(E_F)**: 4.99 states/eV/cell

abc: 6.0403 6.0403 4.2043
angles: 90.00 90.00 90.00
With the nearest neighbours (Å) after each atom.
Sites, in units of the cell vectors:
N 0.0000 0.0000 0.5000  2 In 2.10
Cl 0.5000 0.5000 0.5000  8 I 3.68
I 0.5000 0.0000 0.0000  2 In 3.02
In 0.0000 0.0000 0.0000  2 N 2.10
I 0.0000 0.5000 0.0000  2 In 3.02

=====

# 7
Here is InIN2Cl after structural relaxation from Alexandria via LeMat-Bulk. Energies are from GGA-PBE.

Properties
**DOS(E_F)**: 3.01 states/eV/cell

abc: 4.4499 4.4499 6.5376
angles: 90.00 90.00 90.00
With the nearest neighbours (Å) after each atom.
Sites, in units of the cell vectors:
In 0.0000 0.0000 0.0000  4 N 2.22
N 0.5000 0.0000 0.0000  2 In 2.22
N 0.0000 0.5000 0.0000  2 In 2.22
I 0.0000 0.0000 0.5000  4 Cl 3.15, 2 In 3.27
Cl 0.5000 0.5000 0.5000  4 I 3.15

=====

# 8
Here is InINCl2 after structural relaxation from Alexandria via LeMat-Bulk. Energies are from GGA-PBE.

Properties
**DOS(E_F)**: 2.21 states/eV/cell

abc: 5.0539 4.5142 5.0539
angles: 90.00 90.00 90.00
With the nearest neighbours (Å) after each atom.
Sites, in units of the cell vectors:
In 0.5000 0.5000 0.5000  8 Cl 3.39, 4 I 3.57
N 0.0000 0.0000 0.0000  2 I 2.26, 4 Cl 2.53
Cl 0.5000 0.0000 0.0000  2 N 2.53
I 0.0000 0.5000 0.0000  2 N 2.26
Cl 0.0000 0.0000 0.5000  2 N 2.53

=====

# 9
Here is InIN2Cl after structural relaxation from Alexandria via LeMat-Bulk. Energies are from GGA-PBE.

Properties
**DOS(E_F)**: 2.63 states/eV/cell

abc: 4.4145 4.4145 6.8607
angles: 90.00 90.00 90.00
With the nearest neighbours (Å) after each atom.
Sites, in units of the cell vectors:
Cl 0.0000 0.0000 0.0000  4 N 2.21
In 0.5000 0.5000 0.5000  4 I 3.12
I 0.0000 0.0000 0.5000  4 In 3.12, 2 Cl 3.43
N 0.5000 0.0000 0.0000  2 Cl 2.21
N 0.0000 0.5000 0.0000  2 Cl 2.21

=====

# 10
Here is InI2NCl after structural relaxation from Alexandria via LeMat-Bulk. Energies are from GGA-PBE.

Properties
**DOS(E_F)**: 3.32 states/eV/cell

abc: 7.1057 7.1057 3.3943
angles: 90.00 90.00 90.00
With the nearest neighbours (Å) after each atom.
Sites, in units of the cell vectors:
N 0.0000 0.0000 0.5000  2 Cl 1.70
Cl 0.0000 0.0000 0.0000  2 N 1.70
I 0.0000 0.5000 0.0000  2 I 3.39, 2 Cl 3.55
I 0.5000 0.0000 0.0000  2 I 3.39, 2 Cl 3.55
In 0.5000 0.5000 0.5000  2 In 3.39

=====

# 11
Here is NaInI2Cl after structural relaxation from Alexandria via LeMat-Bulk. Energies are from GGA-PBE.

Properties
**DOS(E_F)**: 1.57 states/eV/cell

abc: 6.1078 6.1078 5.3408
angles: 90.00 90.00 90.00
With the nearest neighbours (Å) after each atom.
Sites, in units of the cell vectors:
Cl 0.0000 0.0000 0.5000  2 In 2.67
I 0.0000 0.5000 0.0000  2 In 3.05
In 0.0000 0.0000 0.0000  2 Cl 2.67
I 0.5000 0.0000 0.0000  2 In 3.05
Na 0.5000 0.5000 0.5000  8 I 4.06, 4 Cl 4.32

=====

# 12
Here is NaInICl after structural relaxation from Alexandria via LeMat-Bulk. Energies are from GGA-PBE.

Properties
**DOS(E_F)**: 0.00 states/eV/cell

abc: 5.6024 5.6024 5.6024
angles: 60.00 60.00 60.00
With the nearest neighbours (Å) after each atom.
Sites, in units of the cell vectors:
In 0.5000 0.5000 0.5000  4 I 3.43, 4 Cl 3.43
Na 0.0000 0.0000 0.0000  4 I 3.43, 4 Cl 3.43
I 0.2500 0.2500 0.2500  4 In 3.43, 4 Na 3.43
Cl 0.7500 0.7500 0.7500  4 In 3.43, 4 Na 3.43

=====

# 13
Here is NaInICl after structural relaxation from Alexandria via LeMat-Bulk. Energies are from GGA-PBE.

Properties
**DOS(E_F)**: 0.00 states/eV/cell

abc: 4.4063 4.4082 8.2933
angles: 89.98 105.40 120.03
With the nearest neighbours (Å) after each atom.
Sites, in units of the cell vectors:
In 0.9593 0.3776 0.3519  3 Cl 3.37-3.38, 3 I 3.39
I 0.4818 0.1388 0.6358  3 Na 3.34-3.35, 3 In 3.39
Cl 0.1053 0.9504 0.0710  3 Na 2.84
Na 0.3315 0.5639 0.9109  3 Cl 2.84

=====

# 14
Here is InIClO4 after structural relaxation from Alexandria via LeMat-Bulk. Energies are from GGA-PBE.

Properties
**DOS(E_F)**: 4.00 states/eV/cell

abc: 6.1951 6.1951 6.8806
angles: 77.72 77.72 69.72
With the nearest neighbours (Å) after each atom.
Sites, in units of the cell vectors:
I 0.3692 0.3692 0.2898  4 O 1.88-1.89
Cl 0.9738 0.9738 0.7771  2 In 2.58-2.68, 1 O 2.79
O 0.2432 0.2432 0.5429  1 I 1.88
In 0.2094 0.2094 0.8848  4 O 2.25-2.29
O 0.4402 0.4402 0.7612  1 I 1.88
I 0.6308 0.6308 0.7102  4 O 1.88-1.89
O 0.5598 0.5598 0.2388  1 I 1.88
O 0.7568 0.7568 0.4571  1 I 1.88
Cl 0.0262 0.0262 0.2229  2 In 2.58-2.68, 1 O 2.79
O 0.5058 0.8745 0.8662  1 I 1.89
O 0.4942 0.1255 0.1338  1 I 1.89
O 0.8745 0.5058 0.8662  1 I 1.89
O 0.1255 0.4942 0.1338  1 I 1.89
In 0.7906 0.7906 0.1152  4 O 2.25-2.29

=====

# 15
Here is InPICl2 after structural relaxation from Alexandria via LeMat-Bulk. Energies are from GGA-PBE.

Properties
**DOS(E_F)**: 2.81 states/eV/cell

abc: 5.8801 5.8801 5.3258
angles: 90.00 90.00 90.00
With the nearest neighbours (Å) after each atom.
Sites, in units of the cell vectors:
Cl 0.5000 0.0000 0.0000  2 I 2.94
P 0.0000 0.0000 0.5000  2 I 2.66
I 0.0000 0.0000 0.0000  2 P 2.66, 4 Cl 2.94
Cl 0.0000 0.5000 0.0000  2 I 2.94
In 0.5000 0.5000 0.5000  8 Cl 3.97, 4 P 4.16

=====

# 16
Here is InPICl2 after structural relaxation from Alexandria via LeMat-Bulk. Energies are from GGA-PBE.

Properties
**DOS(E_F)**: 1.59 states/eV/cell

abc: 5.0069 5.0069 5.8452
angles: 90.00 90.00 90.00
With the nearest neighbours (Å) after each atom.
Sites, in units of the cell vectors:
P 0.0000 0.0000 0.5000  2 In 2.92
I 0.5000 0.5000 0.5000  4 P 3.54, 8 Cl 3.85
Cl 0.5000 0.0000 0.0000  2 In 2.50
In 0.0000 0.0000 0.0000  4 Cl 2.50
Cl 0.0000 0.5000 0.0000  2 In 2.50

=====

# 17
Here is InP2ICl after structural relaxation from Alexandria via LeMat-Bulk. Energies are from GGA-PBE.

Properties
**DOS(E_F)**: 3.67 states/eV/cell

abc: 5.4401 5.4401 6.9920
angles: 90.00 90.00 90.00
With the nearest neighbours (Å) after each atom.
Sites, in units of the cell vectors:
I 0.0000 0.0000 0.0000  4 P 2.72
P 0.0000 0.5000 0.0000  2 I 2.72
P 0.5000 0.0000 0.0000  2 I 2.72
In 0.5000 0.5000 0.5000  4 Cl 3.85
Cl 0.0000 0.0000 0.5000  2 I 3.50, 4 In 3.85

=====

# 18
Here is InP2ICl after structural relaxation from Alexandria via LeMat-Bulk. Energies are from GGA-PBE.

Properties
**DOS(E_F)**: 2.91 states/eV/cell

abc: 5.2878 5.2878 5.0794
angles: 90.00 90.00 90.00
With the nearest neighbours (Å) after each atom.
Sites, in units of the cell vectors:
In 0.0000 0.0000 0.0000  2 Cl 2.54, 4 P 2.64
P 0.5000 0.0000 0.0000  2 In 2.64
Cl 0.0000 0.0000 0.5000  2 In 2.54
I 0.5000 0.5000 0.5000  8 P 3.67, 4 Cl 3.74
P 0.0000 0.5000 0.0000  2 In 2.64

=====

# 19
Here is PaIn2I4Cl2 after structural relaxation from Alexandria via LeMat-Bulk. Energies are from GGA-PBE.

Properties
**DOS(E_F)**: 1.06 states/eV/cell

abc: 7.2461 8.2597 8.2597
angles: 62.00 74.18 74.18
With the nearest neighbours (Å) after each atom.
Sites, in units of the cell vectors:
I 0.3112 0.1567 0.6532  1 Pa 3.07, 1 In 3.36
In 0.2895 0.7255 0.7255  4 I 3.36-3.58, 1 Cl 3.38
Pa 0.5000 0.0000 0.0000  2 Cl 2.60
I 0.3112 0.6532 0.1567  1 Pa 3.07, 1 In 3.36
I 0.6888 0.8434 0.3468  1 Pa 3.07, 1 In 3.36
Cl 0.8034 0.8408 0.8408  1 Pa 2.60
In 0.7105 0.2745 0.2745  4 I 3.36-3.58, 1 Cl 3.38
Cl 0.1966 0.1592 0.1592  1 Pa 2.60
I 0.6888 0.3468 0.8434  1 Pa 3.07, 1 In 3.36

=====

# 20
Here is PaIn3I2Cl6 after structural relaxation from Alexandria via LeMat-Bulk. Energies are from GGA-PBE.

Properties
**DOS(E_F)**: 2.33 states/eV/cell

abc: 6.2446 9.1243 9.5656
angles: 118.49 88.07 90.00
With the nearest neighbours (Å) after each atom.
Sites, in units of the cell vectors:
Cl 0.2733 0.7354 0.8727  1 Pa 2.57
In 0.0000 0.5000 0.0000  2 I 3.29, 4 Cl 3.37
Cl 0.7267 0.2646 0.1273  1 Pa 2.57
I 0.1553 0.6846 0.3692  3 In 3.29-3.35
In 0.5000 0.0000 0.5000  2 I 3.35, 4 Cl 3.41-3.42
In 0.5000 0.5000 0.5000  2 I 3.35, 4 Cl 3.41-3.42
Cl 0.2680 0.1292 0.2584  1 Pa 2.56
Cl 0.7267 0.8627 0.1273  1 Pa 2.57
Pa 0.5000 0.0000 0.0000  6 Cl 2.56-2.57
Cl 0.7320 0.8708 0.7416  1 Pa 2.56
I 0.8447 0.3154 0.6308  3 In 3.29-3.35
Cl 0.2733 0.1373 0.8727  1 Pa 2.57

=====

Across the entries above, calculated volume takes the values 36.54; 37.58; 36.23; 33.85; 50.07; 30.68; 25.89; 23.06; 26.74; 34.28; 39.85; 31.09; 33.18; 17.09; 36.83; 29.31; 41.39; 28.40; 45.98; 39.89 A^3/atom, respectively.
Across the entries above, mass density takes the values 4.2; 4.1; 3.2; 3.1; 2.7; 4.5; 3.9; 4.7; 3.8; 4.1; 3.6; 4.0; 3.8; 4.7; 3.1; 3.9; 2.7; 4.0; 4.2; 3.6 Mg/m³, respectively.
Across the entries above, raw formation energy takes the values -0.5602; -0.6543; -1.1539; -0.8862; 1.0532; 0.6984; 1.3948; 0.5564; 1.8689; 0.7817; -0.7885; -0.9241; -1.0440; -0.4556; 0.3412; 0.0037; 0.9098; 0.6242; -0.9786; -1.1941 eV per atom, respectively.